1.
# ScInSb4 | Alexandria | PBE-GGA | relaxed
# Crystal system = cubic
# Formation energy (no corrections) = 151 meV/atom
data_ScInSb4
_chemical_formula_sum 'Sc1 In1 Sb4'
_space_group_name_H-M_alt 'P 1'
_space_group_IT_number 1
_space_group_name_Hall 'P 1'
_cell_length_a 6.236
_cell_length_b 6.236
_cell_length_c 6.236
_cell_angle_alpha 60.00
_cell_angle_beta 60.00
_cell_angle_gamma 60.00
loop_
_atom_site_label
_atom_site_type_symbol
_atom_site_fract_x
_atom_site_fract_y
_atom_site_fract_z
Sc1 Sc 0.000 0.000 0.000
In1 In 0.750 0.750 0.750
Sb1 Sb 0.375 0.375 0.375
Sb2 Sb 0.375 0.375 0.875
Sb3 Sb 0.375 0.875 0.375
Sb4 Sb 0.875 0.375 0.375

***

2.
# Cs3Nd2ScS6 | Alexandria | PBE-GGA | relaxed
# Crystal system = monoclinic
# Formation energy (no corrections) = -1751 meV/atom
data_Cs3Nd2ScS6
_chemical_formula_sum 'Cs3 Nd2 Sc1 S6'
_space_group_name_H-M_alt 'P 1'
_space_group_IT_number 1
_space_group_name_Hall 'P 1'
_cell_length_a 7.167
_cell_length_b 7.167
_cell_length_c 8.409
_cell_angle_alpha 98.18
_cell_angle_beta 98.18
_cell_angle_gamma 119.99
loop_
_atom_site_label
_atom_site_type_symbol
_atom_site_fract_x
_atom_site_fract_y
_atom_site_fract_z
Cs1 Cs 0.000 0.000 0.000
Cs2 Cs 0.331 0.669 0.000
Cs3 Cs 0.669 0.331 0.000
Nd1 Nd 0.167 0.833 0.500
Nd2 Nd 0.833 0.167 0.500
Sc1 Sc 0.500 0.500 0.500
S1 S 0.126 0.439 0.319
S2 S 0.248 0.248 0.683
S3 S 0.439 0.126 0.319
S4 S 0.561 0.874 0.681
S5 S 0.752 0.752 0.317
S6 S 0.874 0.561 0.681

***

3.
# Sr3Nb | Alexandria | PBE-GGA | relaxed
# Crystal system = tetragonal
# DFT total energy = -3.06 eV per atom
data_Sr3Nb
_chemical_formula_sum 'Sr3 Nb1'
_space_group_name_H-M_alt 'P 1'
_space_group_IT_number 1
_space_group_name_Hall 'P 1'
_cell_length_a 6.486
_cell_length_b 6.486
_cell_length_c 6.486
_cell_angle_alpha 129.47
_cell_angle_beta 129.47
_cell_angle_gamma 74.25
loop_
_atom_site_label
_atom_site_type_symbol
_atom_site_fract_x
_atom_site_fract_y
_atom_site_fract_z
Sr1 Sr 0.000 0.000 0.000
Sr2 Sr 0.250 0.750 0.500
Sr3 Sr 0.750 0.250 0.500
Nb1 Nb 0.500 0.500 0.000